# 1
# MgAg2TeSe4 (PBE, optimized geometry)
data_MgAg2TeSe4
_space_group_name_H-M_alt 'I m m a'
_space_group_IT_number 74
_space_group_name_Hall '-I 2b 2'
_cell_length_a 7.991
_cell_length_b 8.041
_cell_length_c 11.374
_cell_angle_alpha 90.00
_cell_angle_beta 90.00
_cell_angle_gamma 90.00
loop_
_atom_site_label
_atom_site_type_symbol
_atom_site_fract_x
_atom_site_fract_y
_atom_site_fract_z
Mg1 Mg 0.250 0.250 0.250
Ag1 Ag 0.000 0.000 0.000
Ag2 Ag 0.250 0.250 0.750
Te1 Te 0.000 0.000 0.500
Se1 Se 0.000 0.010 0.249
Se2 Se 0.245 0.250 0.006
# **M_tot**: 0.00 Bohr magnetons per cell
# **E**: -3.357 eV per atom

# 2
# AlSn2IrPt (PBE, optimized geometry)
data_AlSn2IrPt
_space_group_name_H-M_alt 'P 4/m m m'
_space_group_IT_number 123
_space_group_name_Hall '-P 4 2'
_cell_length_a 5.053
_cell_length_b 5.053
_cell_length_c 4.692
_cell_angle_alpha 90.00
_cell_angle_beta 90.00
_cell_angle_gamma 90.00
loop_
_atom_site_label
_atom_site_type_symbol
_atom_site_fract_x
_atom_site_fract_y
_atom_site_fract_z
Al1 Al 0.000 0.000 0.000
Sn1 Sn 0.000 0.500 0.500
Ir1 Ir 0.000 0.000 0.500
Pt1 Pt 0.500 0.500 0.000
# **M_tot**: 0.00 Bohr magnetons per cell
# **E**: -5.182 eV per atom

# 3
# LiMg6Pd (PBE, optimized geometry)
data_LiMg6Pd
_space_group_name_H-M_alt 'R -3 m'
_space_group_IT_number 166
_space_group_name_Hall '-R 3 2"'
_cell_length_a 7.6551
_cell_length_b 7.6551
_cell_length_c 11.2542
_cell_angle_alpha 90.00
_cell_angle_beta 90.00
_cell_angle_gamma 120.00
loop_
_atom_site_label
_atom_site_type_symbol
_atom_site_fract_x
_atom_site_fract_y
_atom_site_fract_z
Li1 Li 0.0000 0.0000 0.0000
Mg1 Mg 0.0755 0.5378 0.8812
Pd1 Pd 0.0000 0.0000 0.5000
# **Energy above the most stable polymorph in this dataset**: 327.1 meV per atom
# **M_tot**: 0.00 Bohr magnetons per cell

# 4
# Sb2PtCl (PBE, optimized geometry)
data_Sb2PtCl
_space_group_name_H-M_alt 'P 4/m m m'
_space_group_IT_number 123
_space_group_name_Hall '-P 4 2'
_cell_length_a 3.372
_cell_length_b 3.372
_cell_length_c 7.962
_cell_angle_alpha 90.00
_cell_angle_beta 90.00
_cell_angle_gamma 90.00
loop_
_atom_site_label
_atom_site_type_symbol
_atom_site_fract_x
_atom_site_fract_y
_atom_site_fract_z
Sb1 Sb 0.000 0.000 0.210
Pt1 Pt 0.500 0.500 0.000
Cl1 Cl 0.500 0.500 0.500
# **Energy above the most stable polymorph in this dataset**: 207.6 meV per atom
# **M_tot**: 0.00 Bohr magnetons per cell

# 5
# BaTc2TeO8 (PBE, optimized geometry)
data_BaTc2TeO8
_space_group_name_H-M_alt 'P -1'
_space_group_IT_number 2
_cell_length_a 4.735
_cell_length_b 5.435
_cell_length_c 8.090
_cell_angle_alpha 94.29
_cell_angle_beta 105.21
_cell_angle_gamma 93.92
loop_
_space_group_symop_operation_xyz
'x,y,z'
'-x,-y,-z'
loop_
_atom_site_label
_atom_site_type_symbol
_atom_site_fract_x
_atom_site_fract_y
_atom_site_fract_z
Ba1 Ba 0.000 0.000 0.000
Tc1 Tc 0.337 0.512 0.798
Te1 Te 0.500 0.000 0.500
O1 O 0.028 0.493 0.194
O2 O 0.329 0.310 0.604
O3 O 0.468 0.807 0.735
O4 O 0.493 0.716 0.047
# **M_tot**: 0.00 Bohr magnetons per cell
# **E**: -6.930 eV per atom

# 6
# SrZnH2Ru (PBE, optimized geometry)
data_SrZnH2Ru
_space_group_name_H-M_alt 'P 4/m m m'
_space_group_IT_number 123
_space_group_name_Hall '-P 4 2'
_cell_length_a 4.048
_cell_length_b 4.048
_cell_length_c 4.714
_cell_angle_alpha 90.00
_cell_angle_beta 90.00
_cell_angle_gamma 90.00
loop_
_atom_site_label
_atom_site_type_symbol
_atom_site_fract_x
_atom_site_fract_y
_atom_site_fract_z
Sr1 Sr 0.000 0.000 0.000
Zn1 Zn 0.500 0.500 0.000
H1 H 0.000 0.500 0.500
Ru1 Ru 0.500 0.500 0.500
# **M_tot**: 0.00 Bohr magnetons per cell
# **E**: -3.661 eV per atom

# 7
# Na5I (PBE, optimized geometry)
data_Na5I
_space_group_name_H-M_alt 'C m m m'
_space_group_IT_number 65
_space_group_name_Hall '-C 2 2'
_cell_length_a 4.690
_cell_length_b 16.986
_cell_length_c 5.401
_cell_angle_alpha 90.00
_cell_angle_beta 90.00
_cell_angle_gamma 90.00
loop_
_atom_site_label
_atom_site_type_symbol
_atom_site_fract_x
_atom_site_fract_y
_atom_site_fract_z
Na1 Na 0.000 0.000 0.000
Na2 Na 0.000 0.160 0.500
Na3 Na 0.000 0.323 0.000
I1 I 0.000 0.500 0.500
# **M_tot**: 0.00 Bohr magnetons per cell
# **E**: -1.642 eV per atom

# 8
# Ba4Sr3Tl (PBE, optimized geometry)
data_Ba4Sr3Tl
_space_group_name_H-M_alt 'P 4/m m m'
_space_group_IT_number 123
_space_group_name_Hall '-P 4 2'
_cell_length_a 4.327
_cell_length_b 4.327
_cell_length_c 23.345
_cell_angle_alpha 90.00
_cell_angle_beta 90.00
_cell_angle_gamma 90.00
loop_
_atom_site_label
_atom_site_type_symbol
_atom_site_fract_x
_atom_site_fract_y
_atom_site_fract_z
Ba1 Ba 0.000 0.000 0.087
Ba2 Ba 0.000 0.000 0.364
Sr1 Sr 0.500 0.500 0.229
Sr2 Sr 0.500 0.500 0.500
Tl1 Tl 0.500 0.500 0.000
# **M_tot**: 0.00 Bohr magnetons per cell
# **E**: -1.987 eV per atom